1.
{
  "formula": "SrPm2Y",
  "functional": "PBE-GGA",
  "state": "relaxed",
  "volume_a3_per_cell": 155,
  "delta_e_f_ev_per_atom": 0.129,
  "lattice_angstrom": [[-4.0589, 0.2476, 0.5937], [-0.5271, -3.4536, -2.1640], [0.8229, -4.9422, 7.6869]],
  "species": ["Pm", "Y", "Sr", "Pm"],
  "frac_coords": [[0.0000, 0.0000, 0.2073], [0.5000, 0.5000, 0.0000], [0.5000, 0.5000, 0.5000], [0.0000, 0.0000, 0.7927]]
}



2.
{
  "formula": "CaZrCu2Pb",
  "functional": "PBE-GGA",
  "state": "relaxed",
  "volume_a3_per_cell": 129,
  "delta_e_f_ev_per_atom": 1.181,
  "lattice_angstrom": [[-1.1395, -1.6425, -4.3845], [5.3166, -1.4048, -0.8555], [-0.8543, -4.3638, 1.8568]],
  "species": ["Pb", "Cu", "Cu", "Ca", "Zr"],
  "frac_coords": [[0.5000, 0.5000, 0.5000], [0.5000, 0.0000, 0.0000], [0.0000, 0.0000, 0.5000], [0.0000, 0.0000, 0.0000], [0.0000, 0.5000, 0.0000]]
}



3.
{
  "formula": "Hf6TlBi3",
  "functional": "PBE-GGA",
  "state": "relaxed",
  "volume_a3_per_cell": 502,
  "delta_e_f_ev_per_atom": 0.040,
  "lattice_angstrom": [[-3.6088, 6.1097, 2.5162], [-6.8310, -2.0629, -4.7883], [0.0491, -3.2475, 7.9560]],
  "species": ["Tl", "Hf", "Hf", "Hf", "Hf", "Hf", "Tl", "Bi", "Bi", "Hf", "Bi", "Hf", "Hf", "Bi", "Hf", "Hf", "Hf", "Bi", "Bi", "Hf"],
  "frac_coords": [[0.1084, 0.1903, 0.8097], [0.8014, 0.0546, 0.9454], [0.6055, 0.6124, 0.7835], [0.1055, 0.3876, 0.2165], [0.3035, 0.0024, 0.4402], [0.3035, 0.5598, 0.9976], [0.6084, 0.8097, 0.1903], [0.2795, 0.4270, 0.5730], [0.9771, 0.1094, 0.3007], [0.3014, 0.9454, 0.0546], [0.4771, 0.8906, 0.6993], [0.6055, 0.2165, 0.3876], [0.5240, 0.2569, 0.7431], [0.9771, 0.6993, 0.8906], [0.1055, 0.7835, 0.6124], [0.8035, 0.4402, 0.0024], [0.8035, 0.9976, 0.5598], [0.7795, 0.5730, 0.4270], [0.4771, 0.3007, 0.1094], [0.0240, 0.7431, 0.2569]]
}